Record 1
This record from Alexandria describes a relaxed LaAgSnIr2 crystal. The functional is PBE-GGA.

Lattice parameters (Å, degrees): 4.911 5.828 4.911 90.00 90.00 90.00
Atoms (fractional coordinates):
Ag  0.500  0.500  0.500
La  0.000  0.500  0.000
Ir  0.500  0.000  0.000
Sn  0.000  0.000  0.000
Ir  0.000  0.000  0.500

Calculated values
The formation energy is 1.048 eV/atom. The density of states at the Fermi level is 1.27 states/eV/atom.

***

Record 2
This record from Alexandria describes a relaxed Cs2SrSiCl6 crystal. The functional is PBE-GGA.

Lattice parameters (Å, degrees): 7.774 7.774 7.775 60.00 60.00 90.00
Atoms (fractional coordinates):
Cs  0.250  0.750  0.500
Sr  0.000  0.000  0.000
Cs  0.750  0.250  0.500
Si  0.500  0.500  0.000
Cl  0.739  0.261  0.000
Cl  0.261  0.261  0.000
Cl  0.261  0.739  0.000
Cl  0.739  0.739  0.522
Cl  0.739  0.739  0.000
Cl  0.261  0.261  0.478

Calculated values
For the energy relative to the elements, uncorrected, the calculation gives -17.084 eV/f.u. The density of states at the Fermi level is 0.00 states/eV/atom.

***

Record 3
This record from Alexandria describes a relaxed Cs2RbPdCl6 crystal. The functional is PBE-GGA.

Lattice parameters (Å, degrees): 7.932 7.932 7.819 59.52 59.52 90.00
Atoms (fractional coordinates):
Cl  0.786  0.786  0.428
Rb  0.500  0.500  0.000
Cl  0.778  0.778  0.000
Cl  0.222  0.778  0.000
Cs  0.750  0.250  0.500
Cl  0.214  0.214  0.572
Cl  0.778  0.222  0.000
Pd  0.000  0.000  0.000
Cs  0.250  0.750  0.500
Cl  0.222  0.222  0.000

Calculated values
For the energy relative to the elements, uncorrected, the calculation gives -13.464 eV/f.u. The density of states at the Fermi level is 0.28 states/eV/atom.